Entry 1:
This record from the Alexandria database describes a relaxed Nd6Al2Tl crystal. The functional is PBE.

```
Nd6Al2Tl
1.0
-5.045 5.084 5.462
5.045 -5.084 5.462
5.045 5.084 -5.462
Nd Al Tl
12 4 2
Direct
0.034 0.822 0.212
0.244 0.540 0.296
0.244 0.948 0.704
0.276 0.316 0.592
0.276 0.684 0.961
0.390 0.178 0.212
0.610 0.822 0.788
0.724 0.316 0.039
0.724 0.684 0.408
0.756 0.052 0.296
0.756 0.460 0.704
0.966 0.178 0.788
0.000 0.137 0.137
0.000 0.863 0.863
0.379 0.379 0.000
0.621 0.621 0.000
0.000 0.500 0.500
0.500 0.000 0.500
```

Computed properties:
ΔE_f, eV per atom: -0.24
Calculated density, g/cm³: 6.660
Electronic total energy, eV/cell: -81.2


Entry 2:
This record from the Alexandria database describes a relaxed Nd6Al2Tl crystal. The functional is PBE.

```
Nd6Al2Tl
1.0
5.979 0.000 0.000
0.000 9.199 0.000
-4.880 0.000 9.984
Nd Al Tl
12 4 2
Direct
0.005 0.158 0.081
0.005 0.342 0.581
0.388 0.518 0.307
0.388 0.982 0.807
0.398 0.174 0.439
0.398 0.326 0.939
0.602 0.674 0.061
0.602 0.826 0.561
0.612 0.018 0.193
0.612 0.482 0.693
0.995 0.658 0.419
0.995 0.842 0.919
0.178 0.644 0.746
0.178 0.856 0.246
0.822 0.144 0.754
0.822 0.356 0.254
0.000 0.000 0.500
0.000 0.500 0.000
```

Computed properties:
ΔE_f, eV per atom: -0.13
Calculated density, g/cm³: 6.797
Electronic total energy, eV/cell: -79.3


Entry 3:
This record from the Alexandria database describes a relaxed Nd5Al4Tl crystal. The functional is PBE.

```
Nd5Al4Tl
1.0
3.750 0.000 0.000
0.000 3.750 0.000
0.000 0.000 19.004
Nd Al Tl
5 4 1
Direct
0.000 0.000 0.000
0.000 0.000 0.194
0.000 0.000 0.390
0.000 0.000 0.610
0.000 0.000 0.806
0.500 0.500 0.097
0.500 0.500 0.292
0.500 0.500 0.708
0.500 0.500 0.903
0.500 0.500 0.500
```

Computed properties:
ΔE_f, eV per atom: -0.36
Calculated density, g/cm³: 6.423
Electronic total energy, eV/cell: -44.8


Entry 4:
This record from the Alexandria database describes a relaxed Nd5AlTl4 crystal. The functional is PBE.

```
Nd5AlTl4
1.0
3.829 0.000 0.000
0.000 3.829 0.000
0.000 0.000 19.808
Nd Al Tl
5 1 4
Direct
0.000 0.000 0.000
0.000 0.000 0.205
0.000 0.000 0.409
0.000 0.000 0.591
0.000 0.000 0.795
0.500 0.500 0.500
0.500 0.500 0.103
0.500 0.500 0.306
0.500 0.500 0.694
0.500 0.500 0.897
```

Computed properties:
ΔE_f, eV per atom: -0.38
Calculated density, g/cm³: 8.954
Electronic total energy, eV/cell: -40.9


Entry 5:
This record from the Alexandria database describes a relaxed Nd6AlTl3 crystal. The functional is PBE.

```
Nd6AlTl3
1.0
11.938 0.000 0.000
0.000 3.764 0.000
-4.175 0.000 14.068
Nd Al Tl
12 2 6
Direct
0.008 0.250 0.179
0.106 0.750 0.415
0.244 0.250 0.832
0.326 0.250 0.259
0.365 0.250 0.635
0.379 0.750 0.038
0.621 0.250 0.962
0.635 0.750 0.365
0.674 0.750 0.741
0.756 0.750 0.168
0.894 0.250 0.585
0.992 0.750 0.821
0.455 0.750 0.820
0.545 0.250 0.180
0.125 0.750 0.641
0.138 0.250 0.017
0.391 0.750 0.452
0.609 0.250 0.548
0.862 0.750 0.983
0.875 0.250 0.359
```

Computed properties:
ΔE_f, eV per atom: -0.20
Calculated density, g/cm³: 7.911
Electronic total energy, eV/cell: -82.8


Entry 6:
This record from the Alexandria database describes a relaxed Nd7Al5Tl crystal. The functional is PBE.

```
Nd7Al5Tl
1.0
-3.244 5.055 5.510
3.244 -5.055 5.510
3.244 5.055 -5.510
Nd Al Tl
7 5 1
Direct
0.000 0.000 0.000
0.085 0.765 0.320
0.364 0.364 0.000
0.445 0.765 0.680
0.533 0.033 0.500
0.592 0.270 0.322
0.948 0.270 0.678
0.019 0.519 0.500
0.263 0.297 0.536
0.263 0.728 0.966
0.762 0.297 0.034
0.762 0.728 0.464
0.692 0.692 0.000
```

Computed properties:
ΔE_f, eV per atom: -0.22
Calculated density, g/cm³: 6.199
Electronic total energy, eV/cell: -57.3


Entry 7:
This record from the Alexandria database describes a relaxed Nd3AlTl2 crystal. The functional is PBE.

```
Nd3AlTl2
1.0
3.816 0.000 0.000
0.000 3.816 0.000
0.000 0.000 11.774
Nd Al Tl
3 1 2
Direct
0.000 0.000 0.000
0.000 0.000 0.345
0.000 0.000 0.655
0.500 0.500 0.500
0.500 0.500 0.171
0.500 0.500 0.829
```

Computed properties:
ΔE_f, eV per atom: -0.37
Calculated density, g/cm³: 8.410
Electronic total energy, eV/cell: -25.0


Entry 8:
This record from the Alexandria database describes a relaxed Nd4Al2Tl crystal. The functional is PBE.

```
Nd4Al2Tl
1.0
2.653 1.532 8.562
-2.653 1.532 8.562
0.000 -3.063 8.562
Nd Al Tl
4 2 1
Direct
0.116 0.116 0.116
0.369 0.369 0.369
0.631 0.631 0.631
0.884 0.884 0.884
0.248 0.248 0.248
0.752 0.752 0.752
0.500 0.500 0.500
```

Computed properties:
ΔE_f, eV per atom: -0.22
Calculated density, g/cm³: 6.645
Electronic total energy, eV/cell: -30.5